The following is a DFT calculation (PBE) of a relaxed AgOsPb2 crystal.

Lattice parameters (Å, degrees): 4.9268 4.9268 4.9268 60.00 60.00 60.00
Closest atoms and distances in Å follow each position.
Sites, in units of the cell vectors:
Pb: 0.2500 0.2500 0.2500  4 Os 3.02, 4 Ag 3.02
Pb: 0.7500 0.7500 0.7500  4 Os 3.02, 4 Ag 3.02
Os: 0.5000 0.5000 0.5000  8 Pb 3.02
Ag: 0.0000 0.0000 0.0000  8 Pb 3.02

Calculated values
Mass density, g/cm³: 14.0
Magnetization, μB per cell: 0.0
DFT total energy, eV per atom: -4.62